(1)
A crystal of ReNiIO2 relaxed with PBEsol. Source: Alexandria via LeMat-Bulk, functional SCAN.

a b c (Å): 3.7906 3.7906 5.0170
angles (deg): 90.00 90.00 90.00
Last column: nearest neighbours and their distance in Å.
Sites, in units of the cell vectors:
Re1 0.0000 0.0000 0.0000  4 I 2.68
Ni1 0.5000 0.5000 0.5000  4 O 1.90
I1 0.5000 0.5000 0.0000  2 Ni 2.51, 4 Re 2.68
O1 0.0000 0.5000 0.5000  2 Ni 1.90
O2 0.5000 0.0000 0.5000  2 Ni 1.90

---

(2)
A crystal of ReNiIO2 relaxed with PBEsol. Source: Alexandria via LeMat-Bulk, functional SCAN.

a b c (Å): 3.7208 3.7208 5.9766
angles (deg): 90.00 90.00 90.00
Last column: nearest neighbours and their distance in Å.
Sites, in units of the cell vectors:
Re1 0.0000 0.0000 0.0000  4 O 1.86
Ni1 0.5000 0.5000 0.5000  4 I 2.63
I1 0.0000 0.0000 0.5000  4 Ni 2.63
O1 0.0000 0.5000 0.0000  2 Re 1.86
O2 0.5000 0.0000 0.0000  2 Re 1.86

---

(3)
A crystal of Ni2RhIO relaxed with PBEsol. Source: Alexandria via LeMat-Bulk, functional SCAN.

a b c (Å): 4.5843 4.5843 3.8854
angles (deg): 90.00 90.00 90.00
Last column: nearest neighbours and their distance in Å.
Sites, in units of the cell vectors:
Ni1 0.0000 0.5000 0.0000  2 I 2.29
Ni2 0.5000 0.0000 0.0000  2 I 2.29
Rh1 0.0000 0.0000 0.5000  8 Ni 3.00, 4 O 3.24
I1 0.5000 0.5000 0.0000  2 O 1.94
O1 0.5000 0.5000 0.5000  2 I 1.94

---

(4)
A crystal of NiRuIO2 relaxed with PBEsol. Source: Alexandria via LeMat-Bulk, functional SCAN.

a b c (Å): 3.6730 3.6730 5.9695
angles (deg): 90.00 90.00 90.00
Last column: nearest neighbours and their distance in Å.
Sites, in units of the cell vectors:
Ni1 0.0000 0.0000 0.0000  4 I 2.60
Ru1 0.5000 0.5000 0.5000  4 O 1.84
I1 0.5000 0.5000 0.0000  4 Ni 2.60
O1 0.0000 0.5000 0.5000  2 Ru 1.84
O2 0.5000 0.0000 0.5000  2 Ru 1.84

---

(5)
A crystal of NiS2IO relaxed with PBEsol. Source: Alexandria via LeMat-Bulk, functional SCAN.

a b c (Å): 3.7955 3.7955 6.5489
angles (deg): 90.00 90.00 90.00
Last column: nearest neighbours and their distance in Å.
Sites, in units of the cell vectors:
Ni1 0.0000 0.0000 0.0000  4 I 2.68
S1 0.0000 0.5000 0.5000  2 O 1.90
S2 0.5000 0.0000 0.5000  2 O 1.90
I1 0.5000 0.5000 0.0000  4 Ni 2.68
O1 0.5000 0.5000 0.5000  4 S 1.90

---

(6)
A crystal of NiSb2IO relaxed with PBEsol. Source: Alexandria via LeMat-Bulk, functional SCAN.

a b c (Å): 5.4294 5.4294 3.5097
angles (deg): 90.00 90.00 90.00
Last column: nearest neighbours and their distance in Å.
Sites, in units of the cell vectors:
Ni1 0.0000 0.0000 0.0000  2 O 1.75
Sb1 0.0000 0.5000 0.0000  2 Ni 2.71
Sb2 0.5000 0.0000 0.0000  2 Ni 2.71
I1 0.5000 0.5000 0.5000  8 Sb 3.23, 2 I 3.51
O1 0.0000 0.0000 0.5000  2 Ni 1.75

---

(7)
A crystal of TaNiI2O relaxed with PBEsol. Source: Alexandria via LeMat-Bulk, functional SCAN.

a b c (Å): 5.2972 5.2972 3.4380
angles (deg): 90.00 90.00 90.00
Last column: nearest neighbours and their distance in Å.
Sites, in units of the cell vectors:
Ta1 0.0000 0.0000 0.0000  8 I 3.16, 2 Ta 3.44
Ni1 0.5000 0.5000 0.5000  2 O 1.72
I1 0.0000 0.5000 0.5000  2 Ni 2.65
I2 0.5000 0.0000 0.5000  2 Ni 2.65
O1 0.5000 0.5000 0.0000  2 Ni 1.72

---

(8)
A crystal of TcNiIO2 relaxed with PBEsol. Source: Alexandria via LeMat-Bulk, functional SCAN.

a b c (Å): 3.6917 3.6917 5.8665
angles (deg): 90.00 90.00 90.00
Last column: nearest neighbours and their distance in Å.
Sites, in units of the cell vectors:
Tc1 0.0000 0.0000 0.0000  4 O 1.85
Ni1 0.5000 0.5000 0.5000  4 I 2.61
I1 0.0000 0.0000 0.5000  4 Ni 2.61
O1 0.0000 0.5000 0.0000  2 Tc 1.85
O2 0.5000 0.0000 0.0000  2 Tc 1.85

---

Number 1: total magnetic moment 3.0 μB per formula unit, E_tot -132.1 eV per formula unit. Number 2: total magnetic moment 0.0 μB per formula unit, E_tot -138.4 eV per formula unit. Number 3: total magnetic moment 2.0 μB per formula unit, E_tot -103.2 eV per formula unit. Number 4: total magnetic moment 0.0 μB per formula unit, E_tot -101.0 eV per formula unit. Number 5: total magnetic moment 1.8 μB per formula unit, E_tot -74.9 eV per formula unit. Number 6: total magnetic moment 1.0 μB per formula unit, E_tot -133.4 eV per formula unit. Number 7: total magnetic moment 3.5 μB per formula unit, E_tot -160.2 eV per formula unit. Number 8: total magnetic moment 0.0 μB per formula unit, E_tot -102.7 eV per formula unit.